Entry 1:
Density functional theory data (SCAN) for a crystal of AgAsPb2 relaxed with PBEsol.

## Properties
Energy relative to the elements (eV per atom): 0.142

a = 3.5773 Å, b = 3.6674 Å, c = 7.2673 Å
α = 90.00°, β = 90.00°, γ = 90.00°
Closest atoms and distances in Å follow each position.
Space group Pmm2 (No. 25)
Symmetry-distinct sites (fractional):
Ag: 0.0000 0.0000 0.0000 [1 per cell]  4 As 2.87, 5 Pb 3.02-3.08
As: 0.5000 0.5000 0.1767 [1 per cell]  4 Ag 2.87, 5 Pb 3.00-3.09
Pb: 0.0000 0.0000 0.4155 [1 per cell]  1 Ag 3.02, 4 As 3.09
Pb: 0.5000 0.5000 0.7635 [1 per cell]  1 As 3.00, 4 Ag 3.08

***

Entry 2:
Density functional theory data (SCAN) for a crystal of Ag4AsPb relaxed with PBEsol.

## Properties
Energy relative to the elements (eV per atom): 0.192

a = 7.7671 Å, b = 7.7671 Å, c = 7.7671 Å
α = 90.00°, β = 90.00°, γ = 90.00°
Closest atoms and distances in Å follow each position.
Space group F-43m (No. 216)
Symmetry-distinct sites (fractional):
Ag: 0.1251 0.1251 0.1251 [16 per cell]  6 Ag 2.74-2.75
As: 0.0000 0.0000 0.5000 [4 per cell]  12 Ag 3.22, 4 Pb 3.36
Pb: 0.2500 0.2500 0.7500 [4 per cell]  12 Ag 3.22, 4 As 3.36

***

Entry 3:
Density functional theory data (SCAN) for a crystal of AgAs2Pb relaxed with PBEsol.

## Properties
Energy relative to the elements (eV per atom): 0.141

a = 3.6642 Å, b = 3.6642 Å, c = 22.7971 Å
α = 90.00°, β = 90.00°, γ = 120.00°
Closest atoms and distances in Å follow each position.
Space group R3m (No. 160, hexagonal axes)
Symmetry-distinct sites (fractional):
Ag: 0.0000 0.0000 0.0000 [3 per cell]  3 As 2.77, 3 Pb 2.96
As: 0.0000 0.0000 0.2547 [3 per cell]  3 As 2.57, 3 Ag 2.77
As: 0.0000 0.0000 0.5238 [3 per cell]  3 As 2.57
Pb: 0.0000 0.0000 0.7572 [3 per cell]  3 Ag 2.96, 3 As 3.11

***

Number 1: E_tot -202.55 eV for the cell shown, spin magnetization 0.00 μB/cell. Number 2: E_tot -881.16 eV for the cell shown, spin magnetization 0.00 μB/cell. Number 3: E_tot -440.90 eV for the cell shown, spin magnetization 0.00 μB/cell.